1.
Here is a geometry-optimized PuCdIn2 structure from Alexandria. Energies are from GGA-PBE.

Cell lengths 3.313, 3.313, 9.149 Å; angles 90.00, 90.00, 90.00 degrees
Space group P4/mmm (No. 123)
Asymmetric unit:
Pu 0.000 0.000 0.000
Cd 0.000 0.000 0.500
In 0.500 0.500 0.261

The uncorrected energy is -20.96 eV for the cell shown. The calculation puts the formation energy at -0.058 eV/atom. The calculation puts the theoretical density at 9.692 g cm⁻³.

2.
Here is a geometry-optimized CrRu2Pb structure from Alexandria. Energies are from GGA-PBE.

Cell lengths 3.909, 3.909, 8.374 Å; angles 90.00, 90.00, 90.00 degrees
Space group I-4m2 (No. 119)
Asymmetric unit:
Cr 0.000 0.000 0.000
Ru 0.000 0.000 0.500
Ru 0.000 0.500 0.250
Pb 0.000 0.500 0.750

The uncorrected energy is -60.05 eV for the cell shown. The calculation puts the formation energy at 0.464 eV/atom. The calculation puts the theoretical density at 11.977 g cm⁻³.

3.
Here is a geometry-optimized KAlPb structure from Alexandria. Energies are from GGA-PBE.

Cell lengths 5.282, 13.184, 5.737 Å; angles 90.00, 90.00, 90.00 degrees
Space group Cmcm (No. 63)
Asymmetric unit:
K 0.000 0.224 0.250
Al 0.000 0.500 0.000
Pb 0.000 0.062 0.750

The uncorrected energy is -33.17 eV for the cell shown. The calculation puts the formation energy at 0.085 eV/atom. The calculation puts the theoretical density at 4.543 g cm⁻³.

4.
Here is a geometry-optimized LiTa2W structure from Alexandria. Energies are from GGA-PBE.

Cell lengths 3.302, 3.302, 5.950 Å; angles 90.00, 90.00, 90.00 degrees
Space group P4mm (No. 99)
Asymmetric unit:
Li 0.000 0.000 0.000
Ta 0.000 0.000 0.521
Ta 0.500 0.500 0.243
W 0.500 0.500 0.770

The uncorrected energy is -37.04 eV for the cell shown. The calculation puts the formation energy at 0.382 eV/atom. The calculation puts the theoretical density at 14.144 g cm⁻³.